InSb2 | Alexandria | GGA-PBE | optimized geometry; crystal system = orthorhombic; formation energy without anion corrections = 0.159 eV/atom; uncorrected energy = -21.0 eV/cell
1.0
1.707 -8.736 0.000
1.707 8.736 0.000
0.000 0.000 5.578
In Sb
2 4
Direct
0.228 0.772 0.750
0.772 0.228 0.250
0.101 0.899 0.250
0.442 0.558 0.250
0.558 0.442 0.750
0.899 0.101 0.750